(a)
The following is a DFT calculation (PBE-GGA) of a geometry-optimized HgPtI6 structure.

Lattice parameters (Å, degrees): 13.0213 12.6491 5.7882 90.00 114.60 90.00
Last column: nearest neighbours and their distance in Å.
Positions (direct):
1 Hg 0.0000 0.0000 0.0000  2 Pt 2.89, 4 I 2.99
2 Hg 0.5000 0.5000 0.0000  2 Pt 2.89, 4 I 2.99
3 Pt 0.0000 0.0000 0.5000  4 I 2.66, 2 Hg 2.89
4 Pt 0.5000 0.5000 0.5000  4 I 2.66, 2 Hg 2.89
5 I 0.1048 0.5000 0.6955  1 I 2.72
6 I 0.1267 0.1493 0.8141  1 Pt 2.66
7 I 0.1267 0.8507 0.8141  1 Pt 2.66
8 I 0.3734 0.3507 0.1859  1 Pt 2.66
9 I 0.3734 0.6493 0.1859  1 Pt 2.66
10 I 0.3952 0.0000 0.3045  1 I 2.72
11 I 0.6048 0.0000 0.6955  1 I 2.72
12 I 0.6266 0.3507 0.8141  1 Pt 2.66
13 I 0.6266 0.6493 0.8141  1 Pt 2.66
14 I 0.8734 0.1493 0.1859  1 Pt 2.66
15 I 0.8734 0.8507 0.1859  1 Pt 2.66
16 I 0.8952 0.5000 0.3045  1 I 2.72

Results
The value obtained for the spin magnetization is 0.000 μB per cell.

=====

(b)
The following is a DFT calculation (PBE-GGA) of a geometry-optimized HgPtI6 structure.

Lattice parameters (Å, degrees): 7.2752 7.2797 7.7427 117.98 90.03 119.97
Last column: nearest neighbours and their distance in Å.
Positions (direct):
1 Hg 0.0000 0.0000 0.0000  6 I 3.09-3.10
2 Pt 0.5000 0.0000 0.5000  6 I 2.72
3 I 0.1088 0.8320 0.2626  1 Pt 2.72
4 I 0.2768 0.8459 0.7370  1 Pt 2.72
5 I 0.4310 0.5402 0.2630  1 Pt 2.72
6 I 0.5690 0.4598 0.7370  1 Pt 2.72
7 I 0.7232 0.1541 0.2630  1 Pt 2.72
8 I 0.8912 0.1680 0.7374  1 Pt 2.72

Results
The value obtained for the spin magnetization is 0.000 μB per cell.

=====

Energies relative to the most stable structure are (a) 2.4; (b) 0.0, reported in kJ/mol of atoms.

=====

(a)
The following is a DFT calculation (PBE-GGA) of a geometry-optimized Hg2PtI6 structure.

Lattice parameters (Å, degrees): 9.1905 9.1905 8.7765 90.71 90.71 83.84
Last column: nearest neighbours and their distance in Å.
Positions (direct):
1 Hg 0.1169 0.2503 0.2079  4 I 2.84-2.93
2 Hg 0.2503 0.1169 0.7079  4 I 2.84-2.93
3 Hg 0.7497 0.8831 0.2921  4 I 2.84-2.93
4 Hg 0.8831 0.7497 0.7921  4 I 2.84-2.93
5 Pt 0.4048 0.5952 0.7500  4 I 2.64
6 Pt 0.5952 0.4048 0.2500  4 I 2.64
7 I 0.0107 0.2169 0.8970  2 Hg 2.84-2.91
8 I 0.1405 0.6182 0.6260  1 Pt 2.64, 1 Hg 2.93
9 I 0.2169 0.0107 0.3970  2 Hg 2.84-2.91
10 I 0.3270 0.4515 0.1369  1 Pt 2.64, 1 Hg 2.89
11 I 0.3818 0.8595 0.8740  1 Pt 2.64, 1 Hg 2.93
12 I 0.4515 0.3270 0.6369  1 Pt 2.64, 1 Hg 2.89
13 I 0.5485 0.6730 0.3631  1 Pt 2.64, 1 Hg 2.89
14 I 0.6182 0.1405 0.1260  1 Pt 2.64, 1 Hg 2.93
15 I 0.6730 0.5485 0.8631  1 Pt 2.64, 1 Hg 2.89
16 I 0.7831 0.9893 0.6030  2 Hg 2.84-2.91
17 I 0.8595 0.3818 0.3740  1 Pt 2.64, 1 Hg 2.93
18 I 0.9893 0.7831 0.1030  2 Hg 2.84-2.91

Results
The value obtained for the spin magnetization is 0.000 μB per cell.

=====

(b)
The following is a DFT calculation (PBE-GGA) of a geometry-optimized Hg2PtI6 structure.

Lattice parameters (Å, degrees): 11.2276 11.2276 6.8486 105.95 105.95 87.61
Last column: nearest neighbours and their distance in Å.
Positions (direct):
1 Hg 0.0668 0.8428 0.8748  1 Hg 2.64, 1 I 2.72
2 Hg 0.1572 0.9332 0.6252  1 Hg 2.64, 1 I 2.72
3 Hg 0.8428 0.0668 0.3748  1 Hg 2.64, 1 I 2.72
4 Hg 0.9332 0.1572 0.1252  1 Hg 2.64, 1 I 2.72
5 Pt 0.4371 0.5629 0.7500  6 I 2.68-2.73
6 Pt 0.5629 0.4371 0.2500  6 I 2.68-2.73
7 I 0.0398 0.2544 0.8885  1 Hg 2.72
8 I 0.2059 0.5771 0.5103  1 Pt 2.69
9 I 0.2544 0.0398 0.3885  1 Hg 2.72
10 I 0.3377 0.4601 0.9824  2 Pt 2.68-2.73
11 I 0.4229 0.7941 0.9897  1 Pt 2.69
12 I 0.4601 0.3377 0.4824  2 Pt 2.68-2.73
13 I 0.5399 0.6623 0.5176  2 Pt 2.68-2.73
14 I 0.5771 0.2059 0.0103  1 Pt 2.69
15 I 0.6623 0.5399 0.0176  2 Pt 2.68-2.73
16 I 0.7456 0.9602 0.6115  1 Hg 2.72
17 I 0.7941 0.4229 0.4897  1 Pt 2.69
18 I 0.9602 0.7456 0.1115  1 Hg 2.72

Results
The value obtained for the spin magnetization is 0.000 μB per cell.

=====

Energies relative to the most stable structure are (a) 0.0; (b) 2.9, reported in kJ/mol of atoms.

=====

(a)
The following is a DFT calculation (PBE-GGA) of a geometry-optimized HgSbPtI2 structure.

Lattice parameters (Å, degrees): 5.7517 5.7517 5.1069 90.00 90.00 90.00
Last column: nearest neighbours and their distance in Å.
Positions (direct):
1 Hg 0.0000 0.0000 0.0000  8 I 3.85, 4 Sb 4.07
2 Sb 0.5000 0.5000 0.0000  2 Pt 2.55
3 Pt 0.5000 0.5000 0.5000  2 Sb 2.55
4 I 0.0000 0.5000 0.5000  2 Pt 2.88
5 I 0.5000 0.0000 0.5000  2 Pt 2.88

Results
The value obtained for the spin magnetization is 0.000 μB per cell.

=====

(b)
The following is a DFT calculation (PBE-GGA) of a geometry-optimized HgSbPtI2 structure.

Lattice parameters (Å, degrees): 5.5214 5.5214 5.2645 90.00 90.00 90.00
Last column: nearest neighbours and their distance in Å.
Positions (direct):
1 Hg 0.0000 0.0000 0.0000  2 Pt 2.63
2 Sb 0.5000 0.5000 0.0000  8 I 3.81, 4 Hg 3.90
3 Pt 0.0000 0.0000 0.5000  2 Hg 2.63, 4 I 2.76
4 I 0.0000 0.5000 0.5000  2 Pt 2.76
5 I 0.5000 0.0000 0.5000  2 Pt 2.76

Results
The value obtained for the spin magnetization is 1.189 μB per cell.

=====

Energies relative to the most stable structure are (a) 0.0; (b) 20.7, reported in kJ/mol of atoms.

=====

(a)
The following is a DFT calculation (PBE-GGA) of a geometry-optimized Rb3HgI structure.

Lattice parameters (Å, degrees): 11.0829 4.9214 11.2162 90.00 113.50 90.00
Last column: nearest neighbours and their distance in Å.
Positions (direct):
1 Rb 0.0943 0.2500 0.2581  3 Hg 3.81-3.83, 2 I 3.85
2 Rb 0.2964 0.2500 0.9792  2 I 3.93, 1 Hg 4.15
3 Rb 0.3463 0.7500 0.6115  3 I 3.82-3.90, 3 Hg 3.93-4.15
4 Rb 0.6537 0.2500 0.3885  3 I 3.82-3.90, 3 Hg 3.93-4.15
5 Rb 0.7036 0.7500 0.0208  2 I 3.93, 1 Hg 4.15
6 Rb 0.9057 0.7500 0.7419  3 Hg 3.81-3.83, 2 I 3.85
7 Hg 0.0598 0.2500 0.5842  2 Hg 3.06
8 Hg 0.9402 0.7500 0.4158  2 Hg 3.06
9 I 0.3663 0.7500 0.2720  7 Rb 3.82-3.93
10 I 0.6337 0.2500 0.7280  7 Rb 3.82-3.93

Results
The value obtained for the spin magnetization is 0.000 μB per cell.

=====

(b)
The following is a DFT calculation (PBE-GGA) of a geometry-optimized Rb3HgI structure.

Lattice parameters (Å, degrees): 7.1408 7.1408 7.1408 90.00 90.00 90.00
Last column: nearest neighbours and their distance in Å.
Positions (direct):
1 Rb 0.0000 0.0000 0.5000  2 I 3.57
2 Rb 0.0000 0.5000 0.0000  2 I 3.57
3 Rb 0.5000 0.0000 0.0000  2 I 3.57
4 Hg 0.5000 0.5000 0.5000  12 Rb 5.05
5 I 0.0000 0.0000 0.0000  6 Rb 3.57

Results
The value obtained for the spin magnetization is 0.000 μB per cell.

=====

Energies relative to the most stable structure are (a) 0.0; (b) 12.6, reported in kJ/mol of atoms.

=====

(a)
The following is a DFT calculation (PBE-GGA) of a geometry-optimized RbHg2I2 structure.

Lattice parameters (Å, degrees): 9.4613 9.4613 4.4548 90.00 90.00 90.00
Last column: nearest neighbours and their distance in Å.
Positions (direct):
1 Rb 0.0000 0.0000 0.0000  4 Hg 3.86, 8 I 4.05
2 Rb 0.5000 0.5000 0.0000  4 Hg 3.86, 8 I 4.05
3 Hg 0.1056 0.3944 0.0000  1 Hg 2.83
4 Hg 0.3944 0.8944 0.0000  1 Hg 2.83
5 Hg 0.6056 0.1056 0.0000  1 Hg 2.83
6 Hg 0.8944 0.6056 0.0000  1 Hg 2.83
7 I 0.2152 0.7152 0.5000  2 Hg 3.27
8 I 0.2848 0.2152 0.5000  2 Hg 3.27
9 I 0.7152 0.7848 0.5000  2 Hg 3.27
10 I 0.7848 0.2848 0.5000  2 Hg 3.27

Results
The value obtained for the spin magnetization is 0.000 μB per cell.

=====

(b)
The following is a DFT calculation (PBE-GGA) of a geometry-optimized RbHg2I2 structure.

Lattice parameters (Å, degrees): 6.3096 6.3096 10.3669 90.00 90.00 90.00
Last column: nearest neighbours and their distance in Å.
Positions (direct):
1 Rb 0.0000 0.0000 0.0000  2 Hg 3.77, 8 I 4.08
2 Rb 0.5000 0.5000 0.5000  2 Hg 3.77, 8 I 4.08
3 Hg 0.0000 0.0000 0.3633  1 Hg 2.83
4 Hg 0.0000 0.0000 0.6367  1 Hg 2.83
5 Hg 0.5000 0.5000 0.1367  1 Hg 2.83
6 Hg 0.5000 0.5000 0.8633  1 Hg 2.83
7 I 0.0000 0.5000 0.2500  4 Hg 3.37
8 I 0.0000 0.5000 0.7500  4 Hg 3.37
9 I 0.5000 0.0000 0.2500  4 Hg 3.37
10 I 0.5000 0.0000 0.7500  4 Hg 3.37

Results
The value obtained for the spin magnetization is 0.000 μB per cell.

=====

(c)
The following is a DFT calculation (PBE-GGA) of a geometry-optimized RbHg2I2 structure.

Lattice parameters (Å, degrees): 4.4190 4.4190 19.8851 90.00 90.00 90.00
Last column: nearest neighbours and their distance in Å.
Positions (direct):
1 Rb 0.0000 0.0000 0.0000  8 I 3.75
2 Rb 0.5000 0.5000 0.5000  8 I 3.75
3 Hg 0.0000 0.5000 0.2500  4 Hg 3.12
4 Hg 0.0000 0.5000 0.7500  4 Hg 3.12
5 Hg 0.5000 0.0000 0.2500  4 Hg 3.12
6 Hg 0.5000 0.0000 0.7500  4 Hg 3.12
7 I 0.0000 0.0000 0.3955  4 Hg 3.64, 4 Rb 3.75
8 I 0.0000 0.0000 0.6045  4 Hg 3.64, 4 Rb 3.75
9 I 0.5000 0.5000 0.1045  4 Hg 3.64, 4 Rb 3.75
10 I 0.5000 0.5000 0.8955  4 Hg 3.64, 4 Rb 3.75

Results
The value obtained for the spin magnetization is 0.000 μB per cell.

=====

(d)
The following is a DFT calculation (PBE-GGA) of a geometry-optimized RbHg2I2 structure.

Lattice parameters (Å, degrees): 9.9288 9.9288 5.8494 90.00 90.00 90.00
Last column: nearest neighbours and their distance in Å.
Positions (direct):
1 Rb 0.0000 0.0000 0.0000  4 I 3.61
2 Rb 0.5000 0.5000 0.0000  4 I 3.61
3 Hg 0.1021 0.3979 0.5000  1 Hg 2.87, 2 I 3.17
4 Hg 0.3979 0.8979 0.5000  1 Hg 2.87, 2 I 3.17
5 Hg 0.6021 0.1021 0.5000  1 Hg 2.87, 2 I 3.17
6 Hg 0.8979 0.6021 0.5000  1 Hg 2.87, 2 I 3.17
7 I 0.1890 0.3110 0.0000  2 Hg 3.17
8 I 0.3110 0.8110 0.0000  2 Hg 3.17
9 I 0.6890 0.1890 0.0000  2 Hg 3.17
10 I 0.8110 0.6890 0.0000  2 Hg 3.17

Results
The value obtained for the spin magnetization is 0.000 μB per cell.

=====

Energies relative to the most stable structure are (a) 5.7; (b) 0.0; (c) 3.1; (d) 3.8, reported in kJ/mol of atoms.